[1]
Density functional theory data (PBE-GGA) for a geometry-optimized LaOsRu structure.

Lattice parameters (Å, degrees): 4.210 4.210 4.538 90.00 90.00 120.00
Sites, in units of the cell vectors:
La1 0.000 0.000 0.500
Os1 0.667 0.333 0.000
Ru1 0.333 0.667 0.000

Output
Polymorph energy (0 for the lowest one) = 0.43 eV per formula unit
Density of states at the Fermi level = 2.55 states/eV/cell
SG = No. 187
Volume = 23.2 Å³ per atom
Uncorrected energy = -8.44 eV per atom
Formation energy from the elements = 0.035 eV per atom


[2]
Density functional theory data (PBE-GGA) for a geometry-optimized LaOsRu2 structure.

Lattice parameters (Å, degrees): 2.836 3.733 6.867 90.00 90.00 90.00
Sites, in units of the cell vectors:
La1 0.500 0.500 0.250
Os1 0.500 0.500 0.750
Ru1 0.000 0.000 0.937
Ru2 0.000 0.000 0.563

Output
Polymorph energy (0 for the lowest one) = 0.05 eV per formula unit
Density of states at the Fermi level = 3.77 states/eV/cell
SG = No. 47
Volume = 18.2 Å³ per atom
Uncorrected energy = -8.40 eV per atom
Formation energy from the elements = 0.282 eV per atom


[3]
Density functional theory data (PBE-GGA) for a geometry-optimized LaOsRu2 structure.

Lattice parameters (Å, degrees): 5.701 5.701 5.701 150.05 128.30 60.91
Sites, in units of the cell vectors:
La1 0.750 0.250 0.500
Os1 0.250 0.750 0.500
Ru1 0.029 0.029 0.000
Ru2 0.471 0.471 0.000

Output
Polymorph energy (0 for the lowest one) = 0.72 eV per formula unit
Density of states at the Fermi level = 4.38 states/eV/cell
SG = No. 71
Volume = 18.0 Å³ per atom
Uncorrected energy = -8.23 eV per atom
Formation energy from the elements = 0.448 eV per atom


[4]
Density functional theory data (PBE-GGA) for a geometry-optimized LaOsRu2 structure.

Lattice parameters (Å, degrees): 3.053 4.937 4.704 90.00 90.00 90.00
Last column: magnetic moment on the atom in μB.
Sites, in units of the cell vectors:
La1 0.500 0.000 0.500  -0.01
Os1 0.000 0.500 0.500  0.19
Ru1 0.000 0.000 0.000  0.23
Ru2 0.500 0.500 0.000  0.39

Output
Polymorph energy (0 for the lowest one) = 1.26 eV per formula unit
Density of states at the Fermi level = 6.27 states/eV/cell
SG = No. 47
Volume = 17.7 Å³ per atom
Uncorrected energy = -8.09 eV per atom
Formation energy from the elements = 0.583 eV per atom


[5]
Density functional theory data (PBE-GGA) for a geometry-optimized LaOs2Ru2 structure.

Lattice parameters (Å, degrees): 4.258 4.258 6.053 69.40 69.40 90.00
Sites, in units of the cell vectors:
Ru1 0.750 0.250 0.500
Ru2 0.250 0.750 0.500
Os1 0.387 0.387 0.227
Os2 0.613 0.613 0.773
La1 0.000 0.000 0.000

Output
Polymorph energy (0 for the lowest one) = 0.00 eV per formula unit
Density of states at the Fermi level = 4.51 states/eV/cell
SG = No. 139
Volume = 19.0 Å³ per atom
Uncorrected energy = -9.10 eV per atom
Formation energy from the elements = 0.091 eV per atom


[6]
Density functional theory data (PBE-GGA) for a geometry-optimized LaOsRu2 structure.

Lattice parameters (Å, degrees): 2.819 3.798 6.809 90.00 90.00 90.00
Sites, in units of the cell vectors:
La1 0.000 0.000 0.497
Os1 0.500 0.500 0.817
Ru1 0.000 0.000 0.995
Ru2 0.500 0.500 0.191

Output
Polymorph energy (0 for the lowest one) = 0.23 eV per formula unit
Density of states at the Fermi level = 4.37 states/eV/cell
SG = No. 25
Volume = 18.2 Å³ per atom
Uncorrected energy = -8.35 eV per atom
Formation energy from the elements = 0.326 eV per atom


[7]
Density functional theory data (PBE-GGA) for a geometry-optimized LaOsRu structure.

Lattice parameters (Å, degrees): 4.538 7.369 7.392 90.00 90.00 90.00
Sites, in units of the cell vectors:
La1 0.250 0.819 0.541
La2 0.750 0.181 0.541
La3 0.750 0.319 0.041
La4 0.250 0.681 0.041
Os1 0.250 0.082 0.210
Os2 0.750 0.918 0.210
Os3 0.750 0.582 0.710
Os4 0.250 0.418 0.710
Ru1 0.250 0.404 0.372
Ru2 0.750 0.596 0.372
Ru3 0.750 0.904 0.872
Ru4 0.250 0.096 0.872

Output
Polymorph energy (0 for the lowest one) = 0.35 eV per formula unit
Density of states at the Fermi level = 14.39 states/eV/cell
SG = No. 46
Volume = 20.6 Å³ per atom
Uncorrected energy = -8.47 eV per atom
Formation energy from the elements = 0.008 eV per atom


[8]
Density functional theory data (PBE-GGA) for a geometry-optimized LaOs2Ru2 structure.

Lattice parameters (Å, degrees): 7.781 7.781 2.812 90.00 90.00 90.00
Sites, in units of the cell vectors:
Ru1 0.172 0.672 0.500
Ru2 0.672 0.828 0.500
Ru3 0.828 0.328 0.500
Ru4 0.328 0.172 0.500
Os1 0.381 0.881 0.000
Os2 0.881 0.619 0.000
Os3 0.619 0.119 0.000
Os4 0.119 0.381 0.000
La1 0.000 0.000 0.000
La2 0.500 0.500 0.000

Output
Polymorph energy (0 for the lowest one) = 0.41 eV per formula unit
Density of states at the Fermi level = 8.98 states/eV/cell
SG = No. 127
Volume = 17.0 Å³ per atom
Uncorrected energy = -9.02 eV per atom
Formation energy from the elements = 0.172 eV per atom


[9]
Density functional theory data (PBE-GGA) for a geometry-optimized LaOsRu2 structure.

Lattice parameters (Å, degrees): 5.079 5.079 5.142 77.98 77.98 33.87
Sites, in units of the cell vectors:
La1 0.501 0.501 0.511
Os1 0.271 0.271 0.175
Ru1 0.000 0.000 0.023
Ru2 0.729 0.729 0.792

Output
Polymorph energy (0 for the lowest one) = 0.31 eV per formula unit
Density of states at the Fermi level = 4.15 states/eV/cell
SG = No. 8
Volume = 18.0 Å³ per atom
Uncorrected energy = -8.33 eV per atom
Formation energy from the elements = 0.344 eV per atom


[10]
Density functional theory data (PBE-GGA) for a geometry-optimized LaOsRu2 structure.

Lattice parameters (Å, degrees): 2.935 2.935 8.131 90.00 90.00 90.00
Sites, in units of the cell vectors:
La1 0.000 0.000 0.499
Os1 0.500 0.500 0.797
Ru1 0.000 0.000 0.998
Ru2 0.500 0.500 0.205

Output
Polymorph energy (0 for the lowest one) = 0.31 eV per formula unit
Density of states at the Fermi level = 4.97 states/eV/cell
SG = No. 99
Volume = 17.5 Å³ per atom
Uncorrected energy = -8.33 eV per atom
Formation energy from the elements = 0.344 eV per atom


[11]
Density functional theory data (PBE-GGA) for a geometry-optimized LaOsRu2 structure.

Lattice parameters (Å, degrees): 2.839 2.839 9.474 90.00 90.00 116.86
Last column: magnetic moment on the atom in μB.
Sites, in units of the cell vectors:
La1 0.000 0.000 0.497  0.00
Os1 0.500 0.500 0.774  0.01
Ru1 0.000 0.000 0.001  0.09
Ru2 0.500 0.500 0.228  0.02

Output
Polymorph energy (0 for the lowest one) = 1.79 eV per formula unit
Density of states at the Fermi level = 6.14 states/eV/cell
SG = No. 35
Volume = 17.0 Å³ per atom
Uncorrected energy = -7.96 eV per atom
Formation energy from the elements = 0.716 eV per atom


[12]
Density functional theory data (PBE-GGA) for a geometry-optimized LaOsRu2 structure.

Lattice parameters (Å, degrees): 4.988 4.988 4.988 130.65 130.65 72.37
Sites, in units of the cell vectors:
La1 0.500 0.500 0.000
Os1 0.750 0.250 0.500
Ru1 0.000 0.000 0.000
Ru2 0.250 0.750 0.500

Output
Polymorph energy (0 for the lowest one) = 1.11 eV per formula unit
Density of states at the Fermi level = 7.86 states/eV/cell
SG = No. 119
Volume = 17.5 Å³ per atom
Uncorrected energy = -8.13 eV per atom
Formation energy from the elements = 0.545 eV per atom


Which value of formation energy from the elements does entry 12 give? 0.545 eV per atom


Number 12 is which compound? LaOsRu2


Which value of density of states at the Fermi level does entry 10 give? 4.97 states/eV/cell